Record 1
LiPuPd6 | the Alexandria database | PBE-GGA | relaxed; magnetization = 4.12 μB/cell; E_form = -377 meV per atom; Fermi-level density of states = 2.114 states/eV per atom; distance to the lowest polymorph of the same formula = 38.2 meV/atom
1.0
4.6021 0.0000 0.0000
0.0000 5.7447 -0.1866
0.0000 -2.7107 5.0684
Li Pu Pd
1 1 6
Cartesian
0.0000 -2.0053 4.6300
2.3011 0.8118 2.8792
0.0000 -0.6757 2.0833
0.0000 0.8669 4.5653
0.0000 2.2447 1.9886
2.3011 2.1522 0.3369
2.3011 3.6847 2.8028
2.3011 5.0540 0.2427

Record 2
IrOsSe | the Alexandria database | PBE-GGA | relaxed; energy relative to the elements, uncorrected = 0.578 eV per atom; magnetization = 0.00 μB/cell; Fermi-level density of states = 0.613 states/eV per atom; distance to the lowest polymorph of the same formula = 110.7 meV/atom
1.0
-3.8946 1.4131 -0.8739
-3.3856 -2.2176 1.2445
-2.4667 1.4699 3.1119
Ir Os Se
1 1 1
Cartesian
-4.8735 0.3327 1.7412
-7.3102 0.4991 2.6118
0.0000 0.0000 0.0000

Record 3
CrRh2 | the Alexandria database | PBE-GGA | relaxed; magnetization = 0.00 μB/cell; E_form = 40 meV per atom; Fermi-level density of states = 1.494 states/eV per atom
1.0
-2.9860 2.9860 2.3059
2.9860 -2.9860 2.3059
2.9860 2.9860 -2.3059
Cr Rh
2 4
Cartesian
0.0000 0.0000 3.4589
0.0000 0.0000 1.1530
0.9155 2.0705 2.3059
0.9155 3.9015 0.0000
2.0705 -0.9155 2.3059
2.0705 0.9155 0.0000

Record 4
BaCrAs3 | the Alexandria database | PBE-GGA | relaxed; magnetization = 3.57 μB/cell; E_form = 1439 meV per atom; Fermi-level density of states = 1.185 states/eV per atom
1.0
5.7876 0.0000 0.0000
0.0000 5.7876 0.0000
0.0000 0.0000 5.7876
Cr As Ba
1 3 1
Cartesian
2.8938 2.8938 2.8938
0.0000 2.8938 0.0000
0.0000 0.0000 2.8938
2.8938 0.0000 0.0000
0.0000 0.0000 0.0000